Record 1
First-principles (PBE) data for a geometry-optimized Co2Rh2Au structure, as listed in Alexandria.

Unit cell a=7.2971 b=7.2971 c=2.6976 alpha=90.00 beta=90.00 gamma=90.00
Closest atoms and distances in Å follow each position.
Space group P4/mbm (No. 127)
Inequivalent atoms, fractional coordinates:
Co  0.1645  0.3355  0.0000  6 Rh 2.51-2.55, 2 Co 2.70
Rh  0.1299  0.6299  0.5000  6 Co 2.51-2.55, 3 Rh 2.68-2.70
Au  0.0000  0.0000  0.5000  2 Au 2.70, 4 Rh 2.86

The calculation puts the total energy at -62.29 eV/cell. The formation energy comes out at 0.21 eV per atom.

Record 2
First-principles (PBE) data for a geometry-optimized La3Nd3Cd2Ga structure, as listed in Alexandria.

Unit cell a=9.2644 b=9.2644 c=3.7309 alpha=90.00 beta=90.00 gamma=120.00
Closest atoms and distances in Å follow each position.
Space group P-62m (No. 189)
Inequivalent atoms, fractional coordinates:
La  0.0000  0.2695  0.0000  2 Ga 3.12, 2 Cd 3.42
Nd  0.0000  0.6097  0.5000  4 Cd 3.42, 1 Ga 3.62, 6 La 3.66-3.71, 2 Nd 3.73
Cd  0.3333  0.6667  0.0000  6 Nd 3.42, 3 La 3.42, 2 Cd 3.73
Ga  0.0000  0.0000  0.5000  6 La 3.12

The calculation puts the total energy at -36.06 eV/cell. The formation energy comes out at -0.24 eV per atom.

Record 3
First-principles (PBE) data for a geometry-optimized Tb4NiI5 structure, as listed in Alexandria.

Unit cell a=19.4072 b=4.0894 c=8.8945 alpha=90.00 beta=102.58 gamma=90.00
Closest atoms and distances in Å follow each position.
Space group C2/m (No. 12)
Inequivalent atoms, fractional coordinates:
Tb  0.9998  0.0000  0.1999  2 Ni 2.71
Tb  0.1407  0.5000  0.0728  1 Ni 2.67
Ni  0.0000  0.5000  0.0000  6 Tb 2.67-2.71
I  0.0000  0.5000  0.5000  4 Tb 3.36
I  0.1674  0.0000  0.3448  3 Tb 3.12-3.23
I  0.1766  0.0000  0.8284  4 Tb 3.17-3.46

Its formation energy from raw total energies is -1.063 eV per atom. The calculation puts the total energy at -85.36 eV/cell.

Record 4
First-principles (PBE) data for a geometry-optimized LiIn2Sb structure, as listed in Alexandria.

Unit cell a=4.6762 b=4.7017 c=8.7957 alpha=90.00 beta=90.00 gamma=90.00
Closest atoms and distances in Å follow each position.
Space group Cmmm (No. 65)
Inequivalent atoms, fractional coordinates:
Li  0.0000  0.0000  0.0000  8 In 3.03-3.04, 4 Li 3.32
In  0.0000  0.5000  0.2189  4 Li 3.03-3.04, 4 In 3.32
Sb  0.0000  0.0000  0.5000  4 Sb 3.32, 8 In 3.40-3.41

Its formation energy from raw total energies is -0.071 eV per atom. The calculation puts the total energy at -23.59 eV/cell.